No. 1
Material: Ac2In6IrRu
Method: DFT, PBE-GGA
State: optimized geometry

ΔH_f (0 K), eV/atom: -0.208
DOS(E_F), states/eV/f.u.: 4.719
SG: C2/m, No. 12

Structure (CIF):
```
data_Ac2In6IrRu
_chemical_formula_sum 'Ac2 In6 Ir1 Ru1'
_symmetry_space_group_name_H-M 'P 1'
_symmetry_Int_Tables_number 1
_cell_length_a 7.318
_cell_length_b 7.318
_cell_length_c 7.361
_cell_angle_alpha 59.85
_cell_angle_beta 59.86
_cell_angle_gamma 89.97
loop_
_symmetry_equiv_pos_as_xyz
'x,y,z'
loop_
_atom_site_label
_atom_site_type_symbol
_atom_site_fract_x
_atom_site_fract_y
_atom_site_fract_z
_atom_site_occupancy
Ru1 Ru 0.000 0.000 0.000 1
In1 In 0.751 0.751 0.000 1
In2 In 0.249 0.249 0.000 1
In3 In 0.751 0.751 0.498 1
In4 In 0.249 0.751 0.000 1
In5 In 0.751 0.249 0.000 1
In6 In 0.249 0.249 0.502 1
Ac1 Ac 0.250 0.750 0.500 1
Ac2 Ac 0.750 0.250 0.500 1
Ir1 Ir 0.500 0.500 0.000 1
```

***

No. 2
Material: SrAc2InIr
Method: DFT, PBE-GGA
State: optimized geometry

ΔH_f (0 K), eV/atom: -0.338
DOS(E_F), states/eV/f.u.: 4.220
SG: P4mm, No. 99

Structure (CIF):
```
data_SrAc2InIr
_chemical_formula_sum 'Sr1 Ac2 In1 Ir1'
_symmetry_space_group_name_H-M 'P 1'
_symmetry_Int_Tables_number 1
_cell_length_a 5.764
_cell_length_b 5.764
_cell_length_c 5.847
_cell_angle_alpha 90.00
_cell_angle_beta 90.00
_cell_angle_gamma 90.00
loop_
_symmetry_equiv_pos_as_xyz
'x,y,z'
loop_
_atom_site_label
_atom_site_type_symbol
_atom_site_fract_x
_atom_site_fract_y
_atom_site_fract_z
_atom_site_occupancy
Ac1 Ac 0.000 0.500 0.999 1
Ac2 Ac 0.500 0.000 0.999 1
Ir1 Ir 0.000 0.000 0.999 1
In1 In 0.500 0.500 0.502 1
Sr1 Sr 0.000 0.000 0.499 1
```

***

No. 3
Material: SrAcInIr
Method: DFT, PBE-GGA
State: optimized geometry

ΔH_f (0 K), eV/atom: -0.223
DOS(E_F), states/eV/f.u.: 2.985
SG: F-43m, No. 216

Structure (CIF):
```
data_SrAcInIr
_chemical_formula_sum 'Sr1 Ac1 In1 Ir1'
_symmetry_space_group_name_H-M 'P 1'
_symmetry_Int_Tables_number 1
_cell_length_a 5.441
_cell_length_b 5.441
_cell_length_c 5.441
_cell_angle_alpha 60.00
_cell_angle_beta 60.00
_cell_angle_gamma 60.00
loop_
_symmetry_equiv_pos_as_xyz
'x,y,z'
loop_
_atom_site_label
_atom_site_type_symbol
_atom_site_fract_x
_atom_site_fract_y
_atom_site_fract_z
_atom_site_occupancy
In1 In 0.500 0.500 0.500 1
Ir1 Ir 0.000 0.000 0.000 1
Ac1 Ac 0.750 0.750 0.750 1
Sr1 Sr 0.250 0.250 0.250 1
```

***

No. 4
Material: Ac2TbIn12Ir3
Method: DFT, PBE-GGA
State: optimized geometry

ΔH_f (0 K), eV/atom: 0.024
DOS(E_F), states/eV/f.u.: 14.335
SG: R-3m, No. 166

Structure (CIF):
```
data_Ac2TbIn12Ir3
_chemical_formula_sum 'Ac2 Tb1 In12 Ir3'
_symmetry_space_group_name_H-M 'P 1'
_symmetry_Int_Tables_number 1
_cell_length_a 8.667
_cell_length_b 8.667
_cell_length_c 8.667
_cell_angle_alpha 69.58
_cell_angle_beta 69.58
_cell_angle_gamma 69.58
loop_
_symmetry_equiv_pos_as_xyz
'x,y,z'
loop_
_atom_site_label
_atom_site_type_symbol
_atom_site_fract_x
_atom_site_fract_y
_atom_site_fract_z
_atom_site_occupancy
Ir1 Ir 0.000 0.500 0.000 1
Ir2 Ir 0.000 0.000 0.500 1
Ir3 Ir 0.500 0.000 0.000 1
In1 In 0.715 0.715 0.110 1
In2 In 0.285 0.890 0.285 1
In3 In 0.715 0.110 0.715 1
In4 In 0.595 0.152 0.152 1
In5 In 0.152 0.152 0.595 1
In6 In 0.405 0.848 0.848 1
In7 In 0.152 0.595 0.152 1
In8 In 0.890 0.285 0.285 1
In9 In 0.848 0.405 0.848 1
In10 In 0.285 0.285 0.890 1
In11 In 0.848 0.848 0.405 1
In12 In 0.110 0.715 0.715 1
Ac1 Ac 0.411 0.411 0.411 1
Ac2 Ac 0.589 0.589 0.589 1
Tb1 Tb 0.000 0.000 0.000 1
```

***

No. 5
Material: Ac2Zn3InIr4
Method: DFT, PBE-GGA
State: optimized geometry

ΔH_f (0 K), eV/atom: -0.401
DOS(E_F), states/eV/f.u.: 4.560
SG: P-4m2, No. 115

Structure (CIF):
```
data_Ac2Zn3InIr4
_chemical_formula_sum 'Ac2 Zn3 In1 Ir4'
_symmetry_space_group_name_H-M 'P 1'
_symmetry_Int_Tables_number 1
_cell_length_a 4.380
_cell_length_b 4.380
_cell_length_c 10.791
_cell_angle_alpha 90.00
_cell_angle_beta 90.00
_cell_angle_gamma 90.00
loop_
_symmetry_equiv_pos_as_xyz
'x,y,z'
loop_
_atom_site_label
_atom_site_type_symbol
_atom_site_fract_x
_atom_site_fract_y
_atom_site_fract_z
_atom_site_occupancy
Ac1 Ac 0.500 0.000 0.227 1
Ac2 Ac 0.000 0.500 0.773 1
Ir1 Ir 0.000 0.000 0.000 1
Ir2 Ir 0.000 0.500 0.357 1
Ir3 Ir 0.500 0.000 0.643 1
Ir4 Ir 0.500 0.500 0.000 1
Zn1 Zn 0.000 0.500 0.122 1
Zn2 Zn 0.500 0.000 0.878 1
Zn3 Zn 0.000 0.000 0.500 1
In1 In 0.500 0.500 0.500 1
```

***

No. 6
Material: Ac2ZnInIr
Method: DFT, PBE-GGA
State: optimized geometry

ΔH_f (0 K), eV/atom: -0.479
DOS(E_F), states/eV/f.u.: 3.156
SG: P2_1/m, No. 11

Structure (CIF):
```
data_Ac2ZnInIr
_chemical_formula_sum 'Ac4 Zn2 In2 Ir2'
_symmetry_space_group_name_H-M 'P 1'
_symmetry_Int_Tables_number 1
_cell_length_a 4.659
_cell_length_b 7.685
_cell_length_c 8.340
_cell_angle_alpha 108.25
_cell_angle_beta 90.00
_cell_angle_gamma 90.00
loop_
_symmetry_equiv_pos_as_xyz
'x,y,z'
loop_
_atom_site_label
_atom_site_type_symbol
_atom_site_fract_x
_atom_site_fract_y
_atom_site_fract_z
_atom_site_occupancy
Ac1 Ac 0.250 0.281 0.950 1
Ac2 Ac 0.250 0.134 0.338 1
Ac3 Ac 0.750 0.866 0.662 1
Ac4 Ac 0.750 0.719 0.050 1
In1 In 0.250 0.653 0.350 1
In2 In 0.750 0.347 0.650 1
Zn1 Zn 0.750 0.440 0.314 1
Zn2 Zn 0.250 0.560 0.686 1
Ir1 Ir 0.750 0.121 0.088 1
Ir2 Ir 0.250 0.879 0.912 1
```

***

No. 7
Material: AcZn2InIr
Method: DFT, PBE-GGA
State: optimized geometry

ΔH_f (0 K), eV/atom: -0.392
DOS(E_F), states/eV/f.u.: 2.681
SG: Imm2, No. 44

Structure (CIF):
```
data_AcZn2InIr
_chemical_formula_sum 'Ac1 Zn2 In1 Ir1'
_symmetry_space_group_name_H-M 'P 1'
_symmetry_Int_Tables_number 1
_cell_length_a 4.278
_cell_length_b 4.310
_cell_length_c 6.741
_cell_angle_alpha 108.64
_cell_angle_beta 108.50
_cell_angle_gamma 90.00
loop_
_symmetry_equiv_pos_as_xyz
'x,y,z'
loop_
_atom_site_label
_atom_site_type_symbol
_atom_site_fract_x
_atom_site_fract_y
_atom_site_fract_z
_atom_site_occupancy
Ir1 Ir 0.837 0.837 0.673 1
Ac1 Ac 0.433 0.433 0.867 1
Zn1 Zn 0.048 0.048 0.097 1
Zn2 Zn 0.702 0.202 0.404 1
In1 In 0.192 0.692 0.384 1
```

***

No. 8
Material: KAc2In
Method: DFT, PBE-GGA
State: optimized geometry

ΔH_f (0 K), eV/atom: -0.041
DOS(E_F), states/eV/f.u.: 5.503
SG: P4/mmm, No. 123

Structure (CIF):
```
data_KAc2In
_chemical_formula_sum 'K1 Ac2 In1'
_symmetry_space_group_name_H-M 'P 1'
_symmetry_Int_Tables_number 1
_cell_length_a 3.962
_cell_length_b 3.962
_cell_length_c 11.508
_cell_angle_alpha 90.00
_cell_angle_beta 90.00
_cell_angle_gamma 90.00
loop_
_symmetry_equiv_pos_as_xyz
'x,y,z'
loop_
_atom_site_label
_atom_site_type_symbol
_atom_site_fract_x
_atom_site_fract_y
_atom_site_fract_z
_atom_site_occupancy
Ac1 Ac 0.000 0.000 0.818 1
Ac2 Ac 0.000 0.000 0.182 1
K1 K 0.500 0.500 0.500 1
In1 In 0.500 0.500 0.000 1
```

***

No. 9
Material: KAcIn4
Method: DFT, PBE-GGA
State: optimized geometry

ΔH_f (0 K), eV/atom: -0.249
DOS(E_F), states/eV/f.u.: 4.080
SG: F-43m, No. 216

Structure (CIF):
```
data_KAcIn4
_chemical_formula_sum 'K1 Ac1 In4'
_symmetry_space_group_name_H-M 'P 1'
_symmetry_Int_Tables_number 1
_cell_length_a 6.346
_cell_length_b 6.346
_cell_length_c 6.346
_cell_angle_alpha 60.00
_cell_angle_beta 60.00
_cell_angle_gamma 60.00
loop_
_symmetry_equiv_pos_as_xyz
'x,y,z'
loop_
_atom_site_label
_atom_site_type_symbol
_atom_site_fract_x
_atom_site_fract_y
_atom_site_fract_z
_atom_site_occupancy
In1 In 0.625 0.124 0.625 1
In2 In 0.625 0.625 0.124 1
In3 In 0.124 0.625 0.625 1
In4 In 0.625 0.625 0.625 1
K1 K 0.250 0.250 0.250 1
Ac1 Ac 0.000 0.000 0.000 1
```

***

No. 10
Material: KAcIn
Method: DFT, PBE-GGA
State: optimized geometry

ΔH_f (0 K), eV/atom: -0.015
DOS(E_F), states/eV/f.u.: 2.002
SG: Cmcm, No. 63

Structure (CIF):
```
data_KAcIn
_chemical_formula_sum 'K2 Ac2 In2'
_symmetry_space_group_name_H-M 'P 1'
_symmetry_Int_Tables_number 1
_cell_length_a 6.431
_cell_length_b 9.939
_cell_length_c 4.061
_cell_angle_alpha 90.00
_cell_angle_beta 90.00
_cell_angle_gamma 108.88
loop_
_symmetry_equiv_pos_as_xyz
'x,y,z'
loop_
_atom_site_label
_atom_site_type_symbol
_atom_site_fract_x
_atom_site_fract_y
_atom_site_fract_z
_atom_site_occupancy
In1 In 0.060 0.120 0.250 1
In2 In 0.940 0.880 0.750 1
K1 K 0.415 0.829 0.250 1
K2 K 0.585 0.171 0.750 1
Ac1 Ac 0.210 0.420 0.750 1
Ac2 Ac 0.790 0.580 0.250 1
```

***

No. 11
Material: KAc2In
Method: DFT, PBE-GGA
State: optimized geometry

ΔH_f (0 K), eV/atom: 0.034
DOS(E_F), states/eV/f.u.: 4.740
SG: R-3m, No. 166

Structure (CIF):
```
data_KAc2In
_chemical_formula_sum 'K1 Ac2 In1'
_symmetry_space_group_name_H-M 'P 1'
_symmetry_Int_Tables_number 1
_cell_length_a 4.042
_cell_length_b 4.042
_cell_length_c 13.614
_cell_angle_alpha 81.46
_cell_angle_beta 81.46
_cell_angle_gamma 60.00
loop_
_symmetry_equiv_pos_as_xyz
'x,y,z'
loop_
_atom_site_label
_atom_site_type_symbol
_atom_site_fract_x
_atom_site_fract_y
_atom_site_fract_z
_atom_site_occupancy
K1 K 0.000 0.000 0.000 1
Ac1 Ac 0.895 0.895 0.314 1
Ac2 Ac 0.105 0.105 0.686 1
In1 In 0.500 0.500 0.500 1
```

***

Total DFT energy (no corrections) for the records above, in order: -4.486 -4.638 -4.570 -3.992 -5.423 -4.697 -4.043 -3.054 -2.942 -2.663 -2.979 eV/atom